Record 1
Compound: DyTm7Cd2
Source: the Alexandria database
Functional: GGA-PBE
Structure: relaxed

Cell and atoms, written as CIF:
```
data_DyTm7Cd2
_chemical_formula_sum 'Dy2 Tm14 Cd4'
_cell_length_a 8.871
_cell_length_b 15.584
_cell_length_c 5.161
_cell_angle_alpha 90.00
_cell_angle_beta 90.00
_cell_angle_gamma 90.00
_space_group_name_H-M_alt 'C m m m'
_space_group_IT_number 65
_space_group_name_Hall '-C 2 2'
loop_
_atom_site_label
_atom_site_type_symbol
_atom_site_fract_x
_atom_site_fract_y
_atom_site_fract_z
Dy1 Dy 0.000 0.000 0.000
Tm1 Tm 0.000 0.223 0.000
Tm2 Tm 0.000 0.500 0.500
Tm3 Tm 0.182 0.117 0.500
Cd1 Cd 0.000 0.305 0.500
```

Record 2
# DyTmCd4 (GGA-PBE, relaxed)
data_DyTmCd4
_chemical_formula_sum 'Dy2 Tm2 Cd8'
_cell_length_a 12.820
_cell_length_b 3.444
_cell_length_c 6.813
_cell_angle_alpha 90.00
_cell_angle_beta 105.33
_cell_angle_gamma 90.00
_space_group_name_H-M_alt 'C 1 2/m 1'
_space_group_IT_number 12
loop_
_space_group_symop_operation_xyz
'x,y,z'
'-x,-y,-z'
'-x,y,-z'
'x,-y,z'
'x+1/2,y+1/2,z'
'-x+1/2,-y+1/2,-z'
'-x+1/2,y+1/2,-z'
'x+1/2,-y+1/2,z'
loop_
_atom_site_label
_atom_site_type_symbol
_atom_site_fract_x
_atom_site_fract_y
_atom_site_fract_z
Dy1 Dy 0.000 0.000 0.000
Tm1 Tm 0.000 0.000 0.500
Cd1 Cd 0.173 0.500 0.338
Cd2 Cd 0.174 0.500 0.834
# Energy above the most stable polymorph in this dataset: 77 meV/atom

Record 3
Compound: DyTm8Cd2
Source: the Alexandria database
Functional: GGA-PBE
Structure: relaxed

Cell and atoms, written as CIF:
```
data_DyTm8Cd2
_chemical_formula_sum 'Dy2 Tm16 Cd4'
_cell_length_a 8.711
_cell_length_b 14.852
_cell_length_c 5.469
_cell_angle_alpha 90.00
_cell_angle_beta 112.13
_cell_angle_gamma 90.00
_space_group_name_H-M_alt 'C 1 2/m 1'
_space_group_IT_number 12
loop_
_space_group_symop_operation_xyz
'x,y,z'
'-x,-y,-z'
'-x,y,-z'
'x,-y,z'
'x+1/2,y+1/2,z'
'-x+1/2,-y+1/2,-z'
'-x+1/2,y+1/2,-z'
'x+1/2,-y+1/2,z'
loop_
_atom_site_label
_atom_site_type_symbol
_atom_site_fract_x
_atom_site_fract_y
_atom_site_fract_z
Dy1 Dy 0.000 0.000 0.000
Tm1 Tm 0.000 0.220 0.000
Tm2 Tm 0.101 0.500 0.799
Tm3 Tm 0.207 0.113 0.615
Cd1 Cd 0.000 0.307 0.500
```

Record 4
Compound: Dy3Tm4Cd2
Source: the Alexandria database
Functional: GGA-PBE
Structure: relaxed

Cell and atoms, written as CIF:
```
data_Dy3Tm4Cd2
_chemical_formula_sum 'Dy6 Tm8 Cd4'
_cell_length_a 14.503
_cell_length_b 4.826
_cell_length_c 7.709
_cell_angle_alpha 90.00
_cell_angle_beta 108.60
_cell_angle_gamma 90.00
_space_group_name_H-M_alt 'C 1 2/m 1'
_space_group_IT_number 12
loop_
_space_group_symop_operation_xyz
'x,y,z'
'-x,-y,-z'
'-x,y,-z'
'x,-y,z'
'x+1/2,y+1/2,z'
'-x+1/2,-y+1/2,-z'
'-x+1/2,y+1/2,-z'
'x+1/2,-y+1/2,z'
loop_
_atom_site_label
_atom_site_type_symbol
_atom_site_fract_x
_atom_site_fract_y
_atom_site_fract_z
Dy1 Dy 0.000 0.000 0.000
Dy2 Dy 0.114 0.000 0.670
Tm1 Tm 0.057 0.500 0.335
Tm2 Tm 0.221 0.000 0.323
Cd1 Cd 0.166 0.500 0.999
```

Record 5
Compound: DyTm2Cd8
Source: the Alexandria database
Functional: GGA-PBE
Structure: relaxed

Cell and atoms, written as CIF:
```
data_DyTm2Cd8
_chemical_formula_sum 'Dy2 Tm4 Cd16'
_cell_length_a 8.049
_cell_length_b 15.779
_cell_length_c 5.331
_cell_angle_alpha 90.00
_cell_angle_beta 128.90
_cell_angle_gamma 90.00
_space_group_name_H-M_alt 'C 1 2/m 1'
_space_group_IT_number 12
loop_
_space_group_symop_operation_xyz
'x,y,z'
'-x,-y,-z'
'-x,y,-z'
'x,-y,z'
'x+1/2,y+1/2,z'
'-x+1/2,-y+1/2,-z'
'-x+1/2,y+1/2,-z'
'x+1/2,-y+1/2,z'
loop_
_atom_site_label
_atom_site_type_symbol
_atom_site_fract_x
_atom_site_fract_y
_atom_site_fract_z
Dy1 Dy 0.000 0.000 0.000
Tm1 Tm 0.000 0.313 0.500
Cd1 Cd 0.000 0.201 0.000
Cd2 Cd 0.022 0.500 0.273
Cd3 Cd 0.232 0.131 0.750
```

Record 6
# Dy2TmCd4 (GGA-PBE, relaxed)
data_Dy2TmCd4
_chemical_formula_sum 'Dy4 Tm2 Cd8'
_cell_length_a 5.295
_cell_length_b 5.295
_cell_length_c 13.774
_cell_angle_alpha 90.00
_cell_angle_beta 90.00
_cell_angle_gamma 90.00
_space_group_name_H-M_alt 'I 4/m m m'
_space_group_IT_number 139
_space_group_name_Hall '-I 4 2'
loop_
_atom_site_label
_atom_site_type_symbol
_atom_site_fract_x
_atom_site_fract_y
_atom_site_fract_z
Dy1 Dy 0.000 0.000 0.242
Tm1 Tm 0.000 0.000 0.500
Cd1 Cd 0.000 0.500 0.114
# Energy above the most stable polymorph in this dataset: 0 meV/atom

| no. | ΔE_f (eV/f.u.) | DOS at the Fermi energy (states/eV per cell) |
| --- | --- | --- |
| 1 | 4.3 | 38.61 |
| 2 | -1.3 | 8.06 |
| 3 | 0.5 | 29.34 |
| 4 | -0.7 | 22.94 |
| 5 | -2.3 | 11.08 |
| 6 | -1.1 | 10.24 |